The following is a DFT calculation (PBE) of NaNd2I6 after structural relaxation.

Values from the calculation:
* relative energy among the computed polymorphs: 0 meV/atom
* E_form (uncorrected): -1296 meV per atom
* VASP energy: -3.54 eV/atom

a = 7.6140 Å, b = 7.7536 Å, c = 7.7536 Å
α = 120.00°, β = 90.00°, γ = 90.00°
Last column: magnetic moment on the atom in μB.
Atoms (fractional coordinates):
I: 0.7459 0.0000 0.3416  0.00
Na: 0.0000 0.0000 0.0000  0.00
I: 0.7459 0.3416 0.0000  0.00
Nd: 0.5000 0.6667 0.3333  0.14
I: 0.2541 0.6584 0.0000  0.00
I: 0.7459 0.6584 0.6584  0.00
Nd: 0.5000 0.3333 0.6667  0.14
I: 0.2541 0.3416 0.3416  0.00
I: 0.2541 0.0000 0.6584  0.00